No. 1
A relaxed BaSc2Zn crystal. Source: Alexandria, functional PBE-GGA.

Summary:
Crystal system: monoclinic
Energy of formation from the pure elements in kJ/mol of atoms: 30.2

CIF file:
```
data_BaSc2Zn
_chemical_formula_sum 'Ba2 Sc4 Zn2'
_cell_length_a 6.6363
_cell_length_b 11.6452
_cell_length_c 3.3757
_cell_angle_alpha 90.00
_cell_angle_beta 120.29
_cell_angle_gamma 90.00
_symmetry_space_group_name_H-M 'C 1 2/m 1'
_symmetry_Int_Tables_number 12
loop_
_symmetry_equiv_pos_as_xyz
'x,y,z'
'-x,-y,-z'
'-x,y,-z'
'x,-y,z'
'x+1/2,y+1/2,z'
'-x+1/2,-y+1/2,-z'
'-x+1/2,y+1/2,-z'
'x+1/2,-y+1/2,z'
loop_
_atom_site_label
_atom_site_type_symbol
_atom_site_fract_x
_atom_site_fract_y
_atom_site_fract_z
Ba1 Ba 0.0000 0.0000 0.0000
Sc1 Sc 0.2500 0.2500 0.5000
Zn1 Zn 0.0000 0.5000 0.0000
```

No. 2
A relaxed PaSiAu crystal. Source: Alexandria, functional PBE-GGA.

Summary:
Crystal system: trigonal
E_form (uncorrected) in eV/atom: -0.026

CIF file:
```
data_PaSiAu
_chemical_formula_sum 'Pa6 Si6 Au6'
_cell_length_a 4.1475
_cell_length_b 4.1475
_cell_length_c 24.2095
_cell_angle_alpha 90.00
_cell_angle_beta 90.00
_cell_angle_gamma 120.00
_symmetry_space_group_name_H-M 'R -3 m'
_symmetry_Int_Tables_number 166
_symmetry_space_group_name_Hall '-R 3 2"'
loop_
_atom_site_label
_atom_site_type_symbol
_atom_site_fract_x
_atom_site_fract_y
_atom_site_fract_z
Pa1 Pa 0.0000 0.0000 0.1958
Si1 Si 0.0000 0.0000 0.0692
Au1 Au 0.0000 0.0000 0.3698
```

No. 3
A relaxed BeCd2Pb crystal. Source: Alexandria, functional PBE-GGA.

Summary:
Crystal system: monoclinic
Energy of formation from the pure elements in kJ/mol of atoms: 44.3
Energy above the most stable polymorph in this dataset in eV per formula unit: 0.63

CIF file:
```
data_BeCd2Pb
_chemical_formula_sum 'Be2 Cd4 Pb2'
_cell_length_a 5.6543
_cell_length_b 11.3503
_cell_length_c 3.4750
_cell_angle_alpha 90.00
_cell_angle_beta 125.43
_cell_angle_gamma 90.00
_symmetry_space_group_name_H-M 'C 1 2/m 1'
_symmetry_Int_Tables_number 12
loop_
_symmetry_equiv_pos_as_xyz
'x,y,z'
'-x,-y,-z'
'-x,y,-z'
'x,-y,z'
'x+1/2,y+1/2,z'
'-x+1/2,-y+1/2,-z'
'-x+1/2,y+1/2,-z'
'x+1/2,-y+1/2,z'
loop_
_atom_site_label
_atom_site_type_symbol
_atom_site_fract_x
_atom_site_fract_y
_atom_site_fract_z
Be1 Be 0.0000 0.0000 0.0000
Cd1 Cd 0.2500 0.2500 0.0000
Pb1 Pb 0.0000 0.5000 0.0000
```

No. 4
A relaxed KCuBi3 crystal. Source: Alexandria, functional PBE-GGA.

Summary:
Crystal system: cubic
Energy of formation from the pure elements in kJ/mol of atoms: 8.6
Energy above the most stable polymorph in this dataset in eV per formula unit: 0.00

CIF file:
```
data_KCuBi3
_chemical_formula_sum 'K1 Cu1 Bi3'
_cell_length_a 5.4423
_cell_length_b 5.4423
_cell_length_c 5.4423
_cell_angle_alpha 90.00
_cell_angle_beta 90.00
_cell_angle_gamma 90.00
_symmetry_space_group_name_H-M 'P m -3 m'
_symmetry_Int_Tables_number 221
_symmetry_space_group_name_Hall '-P 4 2 3'
loop_
_atom_site_label
_atom_site_type_symbol
_atom_site_fract_x
_atom_site_fract_y
_atom_site_fract_z
K1 K 0.0000 0.0000 0.0000
Cu1 Cu 0.5000 0.5000 0.5000
Bi1 Bi 0.0000 0.5000 0.5000
```

No. 5
A relaxed Er4Fe crystal. Source: Alexandria, functional PBE-GGA.

Summary:
Crystal system: cubic
Energy of formation from the pure elements in kJ/mol of atoms: 10.1
Energy above the most stable polymorph in this dataset in eV per formula unit: 0.00

CIF file:
```
data_Er4Fe
_chemical_formula_sum 'Er4 Fe1'
_cell_length_a 5.2073
_cell_length_b 5.2073
_cell_length_c 5.2073
_cell_angle_alpha 90.00
_cell_angle_beta 90.00
_cell_angle_gamma 90.00
_symmetry_space_group_name_H-M 'P m -3 m'
_symmetry_Int_Tables_number 221
_symmetry_space_group_name_Hall '-P 4 2 3'
loop_
_atom_site_label
_atom_site_type_symbol
_atom_site_fract_x
_atom_site_fract_y
_atom_site_fract_z
Er1 Er 0.0000 0.0000 0.0000
Er2 Er 0.0000 0.5000 0.5000
Fe1 Fe 0.5000 0.5000 0.5000
```

No. 6
A relaxed Pr2ZrSc crystal. Source: Alexandria, functional PBE-GGA.

Summary:
Crystal system: tetragonal
Energy of formation from the pure elements in kJ/mol of atoms: 13.3
Energy above the most stable polymorph in this dataset in eV per formula unit: 0.00

CIF file:
```
data_Pr2ZrSc
_chemical_formula_sum 'Pr2 Zr1 Sc1'
_cell_length_a 4.9087
_cell_length_b 4.9087
_cell_length_c 4.8173
_cell_angle_alpha 90.00
_cell_angle_beta 90.00
_cell_angle_gamma 90.00
_symmetry_space_group_name_H-M 'P 4/m m m'
_symmetry_Int_Tables_number 123
_symmetry_space_group_name_Hall '-P 4 2'
loop_
_atom_site_label
_atom_site_type_symbol
_atom_site_fract_x
_atom_site_fract_y
_atom_site_fract_z
Pr1 Pr 0.0000 0.5000 0.0000
Zr1 Zr 0.0000 0.0000 0.5000
Sc1 Sc 0.5000 0.5000 0.5000
```